No. 1
Cs2InCuCl6 | GGA-PBE | relaxed

Output
The symmetry is No. 225. The calculation puts the calculated total energy at -3.2602 eV per atom.

Unit cell a=7.271 b=7.271 c=7.271 alpha=60.00 beta=60.00 gamma=60.00
Sites, in units of the cell vectors:
Cl (0.748, 0.748, 0.252)
Cl (0.252, 0.748, 0.252)
Cl (0.748, 0.252, 0.252)
Cl (0.252, 0.252, 0.748)
Cl (0.748, 0.252, 0.748)
Cl (0.252, 0.748, 0.748)
Cs (0.250, 0.250, 0.250)
Cs (0.750, 0.750, 0.750)
Cu (0.500, 0.500, 0.500)
In (0.000, 0.000, 0.000)



No. 2
Cs2InCuCl6 | GGA-PBE | relaxed

Output
The symmetry is No. 12. The calculation puts the calculated total energy at -3.2617 eV per atom.

Unit cell a=7.307 b=7.307 c=7.307 alpha=119.99 beta=119.99 gamma=60.01
Sites, in units of the cell vectors:
Cl (0.748, 0.748, 0.247)
Cl (0.749, 0.252, 0.248)
Cl (0.252, 0.749, 0.248)
Cl (0.748, 0.251, 0.752)
Cl (0.251, 0.748, 0.752)
Cl (0.252, 0.252, 0.753)
Cs (0.250, 0.250, 0.250)
Cs (0.750, 0.750, 0.750)
Cu (0.500, 0.500, 0.000)
In (0.000, 0.000, 0.500)



No. 3
Cs2InCuCl6 | GGA-PBE | relaxed

Output
The symmetry is No. 146. The calculation puts the calculated total energy at -3.2616 eV per atom.

Unit cell a=7.303 b=7.303 c=7.303 alpha=60.02 beta=60.02 gamma=60.02
Sites, in units of the cell vectors:
Cl (0.748, 0.254, 0.251)
Cl (0.746, 0.750, 0.252)
Cl (0.251, 0.748, 0.254)
Cl (0.750, 0.252, 0.746)
Cl (0.254, 0.251, 0.748)
Cl (0.252, 0.746, 0.750)
Cs (0.251, 0.251, 0.251)
Cs (0.750, 0.750, 0.750)
Cu (0.500, 0.500, 0.500)
In (0.000, 0.000, 0.000)



No. 4
Cs2CuPbCl6 | GGA-PBE | relaxed

Output
The symmetry is No. 12. The calculation puts the calculated total energy at -3.3300 eV per atom.

Unit cell a=7.436 b=7.436 c=7.436 alpha=120.00 beta=120.00 gamma=60.00
Sites, in units of the cell vectors:
Cl (0.734, 0.265, 0.265)
Cl (0.265, 0.734, 0.265)
Cl (0.265, 0.265, 0.266)
Cl (0.735, 0.735, 0.734)
Cl (0.735, 0.266, 0.735)
Cl (0.266, 0.735, 0.735)
Cs (0.750, 0.750, 0.250)
Cs (0.250, 0.250, 0.750)
Cu (0.500, 0.500, 0.500)
Pb (0.000, 0.000, 0.000)



No. 5
Cs2CuPbCl6 | GGA-PBE | relaxed

Output
The symmetry is No. 1. The calculation puts the calculated total energy at -3.3300 eV per atom.

Unit cell a=7.430 b=7.446 c=10.536 alpha=90.05 beta=90.02 gamma=90.02
Sites, in units of the cell vectors:
Cl (0.182, 0.813, 0.000)
Cl (0.188, 0.282, 0.001)
Cl (0.949, 0.050, 0.235)
Cl (0.451, 0.550, 0.265)
Cl (0.209, 0.321, 0.499)
Cl (0.221, 0.790, 0.500)
Cl (0.679, 0.309, 0.500)
Cl (0.691, 0.778, 0.501)
Cl (0.449, 0.549, 0.735)
Cl (0.951, 0.050, 0.765)
Cl (0.712, 0.819, 0.999)
Cl (0.718, 0.288, 0.000)
Cs (0.950, 0.550, 0.250)
Cs (0.450, 0.050, 0.250)
Cs (0.450, 0.050, 0.750)
Cs (0.950, 0.550, 0.750)
Cu (0.950, 0.051, 0.000)
Cu (0.450, 0.549, 0.500)
Pb (0.450, 0.551, 0.000)
Pb (0.950, 0.050, 0.500)



No. 6
Cs2CuPbCl6 | GGA-PBE | relaxed

Output
The symmetry is No. 87. The calculation puts the calculated total energy at -3.3296 eV per atom.

Unit cell a=7.452 b=7.452 c=7.452 alpha=120.40 beta=120.40 gamma=89.30
Sites, in units of the cell vectors:
Cl (0.263, 0.263, 0.000)
Cl (0.737, 0.737, 0.000)
Cl (0.272, 0.739, 0.011)
Cl (0.739, 0.728, 0.467)
Cl (0.261, 0.272, 0.533)
Cl (0.728, 0.261, 0.989)
Cs (0.750, 0.250, 0.500)
Cs (0.250, 0.750, 0.500)
Cu (0.500, 0.500, 0.000)
Pb (0.000, 0.000, 0.000)



No. 7
Cs2TlCuCl6 | GGA-PBE | relaxed

Output
The symmetry is No. 12. The calculation puts the calculated total energy at -3.1009 eV per atom.

Unit cell a=7.366 b=7.366 c=7.366 alpha=120.00 beta=120.00 gamma=60.00
Sites, in units of the cell vectors:
Cl (0.263, 0.263, 0.263)
Cl (0.737, 0.264, 0.264)
Cl (0.264, 0.737, 0.264)
Cl (0.736, 0.263, 0.736)
Cl (0.263, 0.736, 0.736)
Cl (0.737, 0.737, 0.737)
Cs (0.750, 0.750, 0.250)
Cs (0.250, 0.250, 0.750)
Cu (0.500, 0.500, 0.500)
Tl (0.000, 0.000, 0.000)



No. 8
Cs2TlCuCl6 | GGA-PBE | relaxed

Output
The symmetry is No. 225. The calculation puts the calculated total energy at -3.1011 eV per atom.

Unit cell a=7.370 b=7.370 c=7.370 alpha=119.99 beta=119.99 gamma=90.01
Sites, in units of the cell vectors:
Cl (0.737, 0.263, 0.000)
Cl (0.263, 0.263, 0.000)
Cl (0.737, 0.737, 0.000)
Cl (0.263, 0.737, 0.000)
Cl (0.737, 0.737, 0.475)
Cl (0.263, 0.263, 0.525)
Cs (0.750, 0.250, 0.500)
Cs (0.250, 0.750, 0.500)
Cu (0.500, 0.500, 0.000)
Tl (0.000, 0.000, 0.000)



No. 9
Cs2YCuCl6 | GGA-PBE | relaxed

Output
The symmetry is No. 225. The calculation puts the calculated total energy at -4.0975 eV per atom.

Unit cell a=7.389 b=7.389 c=7.389 alpha=60.00 beta=60.00 gamma=60.00
Sites, in units of the cell vectors:
Cl (0.747, 0.253, 0.253)
Cl (0.253, 0.747, 0.253)
Cl (0.747, 0.747, 0.253)
Cl (0.253, 0.253, 0.747)
Cl (0.747, 0.253, 0.747)
Cl (0.253, 0.747, 0.747)
Cs (0.250, 0.250, 0.250)
Cs (0.750, 0.750, 0.750)
Cu (0.500, 0.500, 0.500)
Y (0.000, 0.000, 0.000)



No. 10
Cs2DyGeCl6 | GGA-PBE | relaxed

Output
The symmetry is No. 139. The calculation puts the calculated total energy at -3.8776 eV per atom.

Unit cell a=7.746 b=7.746 c=7.746 alpha=117.91 beta=117.91 gamma=93.67
Site moments in Bohr magnetons follow the coordinates.
Sites, in units of the cell vectors:
Cl (0.767, 0.233, 0.000)  0.01
Cl (0.250, 0.250, 0.000)  0.00
Cl (0.750, 0.750, 0.000)  0.00
Cl (0.233, 0.767, 0.000)  0.01
Cl (0.233, 0.233, 0.467)  0.01
Cl (0.767, 0.767, 0.533)  0.01
Cs (0.750, 0.250, 0.500)  0.00
Cs (0.250, 0.750, 0.500)  0.00
Dy (0.000, 0.000, 0.000)  0.10
Ge (0.500, 0.500, 0.000)  0.38



No. 11
Cs2LiErCl6 | GGA-PBE | relaxed

Output
The symmetry is No. 139. The calculation puts the calculated total energy at -4.0573 eV per atom.

Unit cell a=7.416 b=7.416 c=7.416 alpha=120.08 beta=120.08 gamma=89.86
Sites, in units of the cell vectors:
Cl (0.249, 0.249, 0.000)
Cl (0.750, 0.250, 0.000)
Cl (0.250, 0.750, 0.000)
Cl (0.751, 0.751, 0.000)
Cl (0.250, 0.250, 0.500)
Cl (0.750, 0.750, 0.500)
Cs (0.750, 0.250, 0.500)
Cs (0.250, 0.750, 0.500)
Er (0.000, 0.000, 0.000)
Li (0.500, 0.500, 0.000)



No. 12
Cs2ErTlCl6 | GGA-PBE | relaxed

Output
The symmetry is No. 225. The calculation puts the calculated total energy at -3.9325 eV per atom.

Unit cell a=8.008 b=8.008 c=8.008 alpha=60.00 beta=60.00 gamma=60.00
Sites, in units of the cell vectors:
Cl (0.770, 0.230, 0.230)
Cl (0.230, 0.770, 0.230)
Cl (0.770, 0.770, 0.230)
Cl (0.230, 0.230, 0.770)
Cl (0.770, 0.230, 0.770)
Cl (0.230, 0.770, 0.770)
Cs (0.250, 0.250, 0.250)
Cs (0.750, 0.750, 0.750)
Er (0.000, 0.000, 0.000)
Tl (0.500, 0.500, 0.500)



No. 13
Cs2PdClF3 | GGA-PBE | relaxed

Output
The symmetry is No. 38. The calculation puts the calculated total energy at -3.9730 eV per atom.

Unit cell a=3.918 b=6.463 c=6.463 alpha=95.23 beta=90.00 gamma=90.00
Sites, in units of the cell vectors:
Cl (0.000, 0.730, 0.730)
Cs (0.500, 0.489, 0.053)
Cs (0.500, 0.053, 0.489)
F (0.000, 0.795, 0.212)
F (0.000, 0.227, 0.227)
F (0.000, 0.212, 0.795)
Pd (0.000, 0.994, 0.994)



No. 14
Cs2PtCl3F | GGA-PBE | relaxed

Output
The symmetry is No. 38. The calculation puts the calculated total energy at -3.7171 eV per atom.

Unit cell a=4.486 b=7.172 c=7.172 alpha=82.33 beta=90.00 gamma=90.00
Sites, in units of the cell vectors:
Cl (0.000, 0.759, 0.251)
Cl (0.000, 0.251, 0.759)
Cl (0.000, 0.789, 0.789)
Cs (0.500, 0.472, 0.036)
Cs (0.500, 0.036, 0.472)
F (0.000, 0.191, 0.191)
Pt (0.000, 0.001, 0.001)



No. 15
CsFeCl4 | GGA-PBE | relaxed

Output
The symmetry is No. 62. The calculation puts the calculated total energy at -4.0304 eV per atom.

Unit cell a=11.675 b=7.132 c=9.519 alpha=90.00 beta=90.00 gamma=90.00
Site moments in Bohr magnetons follow the coordinates.
Sites, in units of the cell vectors:
Cl (0.715, 0.750, 0.048)  0.20
Cl (0.401, 0.750, 0.091)  0.20
Cl (0.084, 0.501, 0.169)  0.20
Cl (0.084, 0.999, 0.169)  0.20
Cl (0.584, 0.501, 0.331)  0.20
Cl (0.584, 0.999, 0.331)  0.20
Cl (0.901, 0.750, 0.409)  0.20
Cl (0.215, 0.750, 0.452)  0.20
Cl (0.785, 0.250, 0.548)  0.20
Cl (0.099, 0.250, 0.591)  0.20
Cl (0.416, 0.001, 0.669)  0.20
Cl (0.416, 0.499, 0.669)  0.20
Cl (0.916, 0.001, 0.831)  0.20
Cl (0.916, 0.499, 0.831)  0.20
Cl (0.599, 0.250, 0.909)  0.20
Cl (0.285, 0.250, 0.952)  0.20
Cs (0.820, 0.250, 0.166)  0.01
Cs (0.320, 0.250, 0.334)  0.01
Cs (0.680, 0.750, 0.666)  0.01
Cs (0.180, 0.750, 0.834)  0.01
Fe (0.569, 0.750, 0.195)  3.75
Fe (0.069, 0.750, 0.305)  3.75
Fe (0.931, 0.250, 0.695)  3.75
Fe (0.431, 0.250, 0.805)  3.75



No. 16
Cs3Fe2Cl9 | GGA-PBE | relaxed

Output
The symmetry is No. 164. The calculation puts the calculated total energy at -3.8566 eV per atom.

Unit cell a=7.224 b=7.224 c=8.931 alpha=90.00 beta=90.00 gamma=120.00
Site moments in Bohr magnetons follow the coordinates.
Sites, in units of the cell vectors:
Cl (0.500, 0.500, 0.000)  0.11
Cl (0.500, 0.000, 0.000)  0.11
Cl (0.000, 0.500, 0.000)  0.11
Cl (0.354, 0.177, 0.314)  0.20
Cl (0.823, 0.177, 0.314)  0.20
Cl (0.823, 0.646, 0.314)  0.20
Cl (0.177, 0.354, 0.686)  0.20
Cl (0.177, 0.823, 0.686)  0.20
Cl (0.646, 0.823, 0.686)  0.20
Cs (0.000, 0.000, 0.000)  0.01
Cs (0.333, 0.667, 0.331)  0.01
Cs (0.667, 0.333, 0.669)  0.01
Fe (0.667, 0.333, 0.185)  3.85
Fe (0.333, 0.667, 0.815)  3.85



No. 17
Cs3Fe2Cl9 | GGA-PBE | relaxed

Output
The symmetry is No. 194. The calculation puts the calculated total energy at -3.8995 eV per atom.

Unit cell a=7.304 b=7.304 c=17.830 alpha=90.00 beta=90.00 gamma=120.00
Site moments in Bohr magnetons follow the coordinates.
Sites, in units of the cell vectors:
Cl (0.353, 0.177, 0.090)  0.19
Cl (0.823, 0.177, 0.090)  0.19
Cl (0.823, 0.647, 0.090)  0.19
Cl (0.517, 0.034, 0.250)  0.15
Cl (0.517, 0.483, 0.250)  0.15
Cl (0.966, 0.483, 0.250)  0.15
Cl (0.823, 0.647, 0.410)  0.19
Cl (0.353, 0.177, 0.410)  0.19
Cl (0.823, 0.177, 0.410)  0.19
Cl (0.177, 0.823, 0.590)  0.19
Cl (0.647, 0.823, 0.590)  0.19
Cl (0.177, 0.353, 0.590)  0.19
Cl (0.034, 0.517, 0.750)  0.15
Cl (0.483, 0.517, 0.750)  0.15
Cl (0.483, 0.966, 0.750)  0.15
Cl (0.177, 0.353, 0.910)  0.19
Cl (0.177, 0.823, 0.910)  0.19
Cl (0.647, 0.823, 0.910)  0.19
Cs (0.333, 0.667, 0.083)  0.01
Cs (0.000, 0.000, 0.250)  0.00
Cs (0.333, 0.667, 0.417)  0.01
Cs (0.667, 0.333, 0.583)  0.01
Cs (0.000, 0.000, 0.750)  0.00
Cs (0.667, 0.333, 0.917)  0.01
Fe (0.667, 0.333, 0.153)  3.84
Fe (0.667, 0.333, 0.347)  3.84
Fe (0.333, 0.667, 0.653)  3.84
Fe (0.333, 0.667, 0.847)  3.84



No. 18
Cs2FeHgCl6 | GGA-PBE | relaxed

Output
The symmetry is No. 225. The calculation puts the calculated total energy at -3.3381 eV per atom.

Unit cell a=7.391 b=7.391 c=7.391 alpha=60.00 beta=60.00 gamma=60.00
Site moments in Bohr magnetons follow the coordinates.
Sites, in units of the cell vectors:
Cl (0.767, 0.233, 0.233)  0.07
Cl (0.233, 0.767, 0.233)  0.07
Cl (0.767, 0.767, 0.233)  0.04
Cl (0.233, 0.233, 0.767)  0.04
Cl (0.767, 0.233, 0.767)  0.07
Cl (0.233, 0.767, 0.767)  0.07
Cs (0.250, 0.250, 0.250)  0.00
Cs (0.750, 0.750, 0.750)  0.00
Fe (0.000, 0.000, 0.000)  3.63
Hg (0.500, 0.500, 0.500)  -0.10



No. 19
CsRb2FeCl6 | GGA-PBE | relaxed

Output
The symmetry is No. 225. The calculation puts the calculated total energy at -3.6454 eV per atom.

Unit cell a=7.870 b=7.870 c=7.870 alpha=60.00 beta=60.00 gamma=60.00
Site moments in Bohr magnetons follow the coordinates.
Sites, in units of the cell vectors:
Cl (0.715, 0.285, 0.285)  0.12
Cl (0.285, 0.715, 0.285)  0.12
Cl (0.715, 0.715, 0.285)  0.12
Cl (0.285, 0.285, 0.715)  0.12
Cl (0.715, 0.285, 0.715)  0.12
Cl (0.285, 0.715, 0.715)  0.12
Cs (0.000, 0.000, 0.000)  0.02
Fe (0.500, 0.500, 0.500)  3.88
Rb (0.250, 0.250, 0.250)  0.00
Rb (0.750, 0.750, 0.750)  0.00



No. 20
Cs2FeSbCl6 | GGA-PBE | relaxed

Output
The symmetry is No. 166. The calculation puts the calculated total energy at -3.6854 eV per atom.

Unit cell a=12.664 b=12.664 c=12.664 alpha=34.52 beta=34.52 gamma=34.52
Site moments in Bohr magnetons follow the coordinates.
Sites, in units of the cell vectors:
Cl (0.629, 0.629, 0.126)  0.02
Cl (0.723, 0.198, 0.198)  0.01
Cl (0.198, 0.723, 0.198)  0.00
Cl (0.802, 0.802, 0.277)  0.00
Cl (0.874, 0.371, 0.371)  0.02
Cl (0.371, 0.874, 0.371)  0.01
Cl (0.629, 0.126, 0.629)  0.01
Cl (0.126, 0.629, 0.629)  0.02
Cl (0.198, 0.198, 0.723)  0.00
Cl (0.277, 0.802, 0.802)  0.01
Cl (0.802, 0.277, 0.802)  0.00
Cl (0.371, 0.371, 0.874)  0.02
Cs (0.123, 0.123, 0.123)  0.00
Cs (0.292, 0.292, 0.292)  0.00
Cs (0.708, 0.708, 0.708)  0.00
Cs (0.877, 0.877, 0.877)  0.00
Fe (0.000, 0.000, 0.000)  2.96
Fe (0.500, 0.500, 0.500)  2.93
Sb (0.418, 0.418, 0.418)  -0.05
Sb (0.582, 0.582, 0.582)  -0.05